[1]
Pm2AgTe: relaxed, GGA-PBE.

Geometry as CIF:
```
data_Pm2AgTe
_chemical_formula_sum 'Pm8 Ag4 Te4'
_cell_length_a 7.5777
_cell_length_b 7.5777
_cell_length_c 7.5777
_cell_angle_alpha 90.00
_cell_angle_beta 90.00
_cell_angle_gamma 90.00
_space_group_name_H-M_alt 'F m -3 m'
_space_group_IT_number 225
_space_group_name_Hall '-F 4 2 3'
loop_
_atom_site_label
_atom_site_type_symbol
_atom_site_fract_x
_atom_site_fract_y
_atom_site_fract_z
Pm1 Pm 0.2500 0.2500 0.2500
Ag1 Ag 0.0000 0.0000 0.0000
Te1 Te 0.0000 0.0000 0.5000
```


[2]
PmAgTe2: relaxed, GGA-PBE.

Geometry as CIF:
```
data_PmAgTe2
_chemical_formula_sum 'Pm4 Ag4 Te8'
_cell_length_a 7.8229
_cell_length_b 4.2801
_cell_length_c 14.0900
_cell_angle_alpha 90.00
_cell_angle_beta 90.00
_cell_angle_gamma 90.00
_space_group_name_H-M_alt 'P n m a'
_space_group_IT_number 62
loop_
_space_group_symop_operation_xyz
'x,y,z'
'-x,-y,-z'
'-x+1/2,-y,z+1/2'
'x+1/2,y,-z+1/2'
'x+1/2,-y+1/2,-z+1/2'
'-x+1/2,y+1/2,z+1/2'
'-x,y+1/2,-z'
'x,-y+1/2,z'
loop_
_atom_site_label
_atom_site_type_symbol
_atom_site_fract_x
_atom_site_fract_y
_atom_site_fract_z
Pm1 Pm 0.1621 0.2500 0.1526
Ag1 Ag 0.0785 0.7500 0.4441
Te1 Te 0.0716 0.2500 0.7365
Te2 Te 0.1928 0.7500 0.9842
```


[3]
Pm2AgTe: relaxed, GGA-PBE.

Geometry as CIF:
```
data_Pm2AgTe
_chemical_formula_sum 'Pm2 Ag1 Te1'
_cell_length_a 3.9064
_cell_length_b 3.9064
_cell_length_c 7.1851
_cell_angle_alpha 90.00
_cell_angle_beta 90.00
_cell_angle_gamma 90.00
_space_group_name_H-M_alt 'P 4/m m m'
_space_group_IT_number 123
_space_group_name_Hall '-P 4 2'
loop_
_atom_site_label
_atom_site_type_symbol
_atom_site_fract_x
_atom_site_fract_y
_atom_site_fract_z
Pm1 Pm 0.0000 0.0000 0.2460
Ag1 Ag 0.5000 0.5000 0.0000
Te1 Te 0.5000 0.5000 0.5000
```


[4]
PmAgTe2: relaxed, GGA-PBE.

Geometry as CIF:
```
data_PmAgTe2
_chemical_formula_sum 'Pm3 Ag3 Te6'
_cell_length_a 4.3511
_cell_length_b 4.3511
_cell_length_c 22.1009
_cell_angle_alpha 90.00
_cell_angle_beta 90.00
_cell_angle_gamma 120.00
_space_group_name_H-M_alt 'R 3 m'
_space_group_IT_number 160
_space_group_name_Hall 'R 3 -2"'
loop_
_atom_site_label
_atom_site_type_symbol
_atom_site_fract_x
_atom_site_fract_y
_atom_site_fract_z
Pm1 Pm 0.0000 0.0000 0.0000
Ag1 Ag 0.0000 0.0000 0.1652
Te1 Te 0.0000 0.0000 0.5770
Te2 Te 0.0000 0.0000 0.7543
```


For each record above, in turn, the calculated E_tot values are -4.50; -4.40; -4.60; -4.28 eV per atom.
For each record above, in turn, the calculated E_form (uncorrected) values are -0.63; -0.93; -0.72; -0.81 eV per atom.